This record from the Alexandria database describes crystalline LaNi5P3 at its relaxed geometry. The functional is PBE.

For the magnetic moment, the calculation gives 0.00 μB per formula unit. The calculation puts the density of states at the Fermi level at 0.747 states/eV per atom.

The structure in POSCAR format:
```
LaNi5P3
1.0
6.133 -0.001 0.000
-5.054 3.475 0.000
0.000 0.000 11.523
La Ni P
2 10 6
direct
0.662 0.338 0.750 La
0.338 0.662 0.250 La
0.500 0.500 0.000 Ni
0.500 0.500 0.500 Ni
0.948 0.052 0.855 Ni
0.052 0.948 0.355 Ni
0.948 0.052 0.645 Ni
0.052 0.948 0.145 Ni
0.699 0.301 0.432 Ni
0.301 0.699 0.932 Ni
0.699 0.301 0.068 Ni
0.301 0.699 0.568 Ni
0.882 0.118 0.461 P
0.118 0.882 0.961 P
0.882 0.118 0.039 P
0.118 0.882 0.539 P
0.383 0.617 0.750 P
0.617 0.383 0.250 P
```

***

This record from the Alexandria database describes crystalline LaNiP2 at its relaxed geometry. The functional is PBE.

For the magnetic moment, the calculation gives 0.00 μB per formula unit. The calculation puts the density of states at the Fermi level at 0.878 states/eV per atom.

The structure in POSCAR format:
```
LaNiP2
1.0
-1.058 3.656 -2.208
2.364 -1.789 -4.096
-7.798 -3.936 -2.781
La Ni P
2 2 4
direct
0.250 0.500 0.709 La
0.750 0.500 0.291 La
0.250 0.000 0.083 Ni
0.750 0.000 0.917 Ni
0.000 0.500 0.000 P
0.500 0.500 0.000 P
0.250 0.000 0.838 P
0.750 0.000 0.162 P
```

***

| no. | formation energy (eV per atom) |
| --- | --- |
| 1 | -0.812 |
| 2 | -0.143 |